Record 1
# CsAg5Br8 (PBE-GGA, relaxed)
# Total energy = -33.84 eV for the cell shown
# Total moment = 0.10 μB/atom
data_CsAg5Br8
_chemical_formula_sum 'Cs1 Ag5 Br8'
_symmetry_space_group_name_H-M 'P 1'
_symmetry_Int_Tables_number 1
_symmetry_space_group_name_Hall 'P 1'
_cell_length_a 8.688
_cell_length_b 8.688
_cell_length_c 8.688
_cell_angle_alpha 60.00
_cell_angle_beta 60.00
_cell_angle_gamma 60.00
loop_
_atom_site_label
_atom_site_type_symbol
_atom_site_fract_x
_atom_site_fract_y
_atom_site_fract_z
_atom_site_occupancy
Br1 Br 0.865 0.865 0.865 1
Br2 Br 0.399 0.802 0.399 1
Br3 Br 0.404 0.865 0.865 1
Br4 Br 0.865 0.404 0.865 1
Br5 Br 0.399 0.399 0.399 1
Br6 Br 0.399 0.399 0.802 1
Br7 Br 0.865 0.865 0.404 1
Br8 Br 0.802 0.399 0.399 1
Ag1 Ag 0.627 0.119 0.627 1
Ag2 Ag 0.627 0.627 0.119 1
Ag3 Ag 0.000 0.000 0.000 1
Ag4 Ag 0.627 0.627 0.627 1
Ag5 Ag 0.119 0.627 0.627 1
Cs1 Cs 0.250 0.250 0.250 1

Record 2
# Cs3AgBr4 (PBE-GGA, relaxed)
# Total energy = -46.13 eV for the cell shown
# Total moment = 0.00 μB/atom
data_Cs3AgBr4
_chemical_formula_sum 'Cs6 Ag2 Br8'
_symmetry_space_group_name_H-M 'P 1'
_symmetry_Int_Tables_number 1
_symmetry_space_group_name_Hall 'P 1'
_cell_length_a 7.296
_cell_length_b 9.630
_cell_length_c 11.804
_cell_angle_alpha 90.00
_cell_angle_beta 90.00
_cell_angle_gamma 90.00
loop_
_atom_site_label
_atom_site_type_symbol
_atom_site_fract_x
_atom_site_fract_y
_atom_site_fract_z
_atom_site_occupancy
Ag1 Ag 0.994 0.197 0.000 1
Ag2 Ag 0.494 0.803 0.500 1
Cs1 Cs 0.565 0.337 0.276 1
Cs2 Cs 0.065 0.663 0.776 1
Cs3 Cs 0.565 0.337 0.724 1
Cs4 Cs 0.059 0.107 0.500 1
Cs5 Cs 0.559 0.893 0.000 1
Cs6 Cs 0.065 0.663 0.224 1
Br1 Br 0.074 0.290 0.218 1
Br2 Br 0.074 0.290 0.782 1
Br3 Br 0.574 0.710 0.718 1
Br4 Br 0.574 0.710 0.282 1
Br5 Br 0.122 0.750 0.500 1
Br6 Br 0.622 0.250 0.000 1
Br7 Br 0.561 0.090 0.500 1
Br8 Br 0.061 0.910 0.000 1